Computed, not measured: BaTaHg2 after structural relaxation at the PBE level of DFT.

Results
Total DFT energy (no corrections) ... -3.31 eV/atom
Fermi-level density of states ... 0.6350 states/eV/atom
Space-group type ... P4/mmm

a b c (Å): 3.272 3.272 9.207
angles (deg): 90.00 90.00 90.00
Sites, in units of the cell vectors:
Ba (0.000, 0.000, 0.000)
Ta (0.000, 0.000, 0.500)
Hg (0.500, 0.500, 0.292)
Hg (0.500, 0.500, 0.708)

***

Computed, not measured: KPuHgBr6 after structural relaxation at the PBE level of DFT.

Results
Formation energy (no corrections) ... -1197 meV/atom
Fermi-level density of states ... 1.3000 states/eV/atom
Space-group type ... P-31c

a b c (Å): 7.492 7.492 14.259
angles (deg): 90.00 90.00 120.00
Sites, in units of the cell vectors:
K (0.000, 0.000, 0.000)
K (0.000, 0.000, 0.500)
Pu (0.333, 0.667, 0.250)
Pu (0.667, 0.333, 0.750)
Hg (0.333, 0.667, 0.750)
Hg (0.667, 0.333, 0.250)
Br (0.000, 0.370, 0.136)
Br (0.000, 0.370, 0.636)
Br (0.000, 0.630, 0.364)
Br (0.000, 0.630, 0.864)
Br (0.370, 0.000, 0.136)
Br (0.370, 0.000, 0.636)
Br (0.370, 0.370, 0.364)
Br (0.370, 0.370, 0.864)
Br (0.630, 0.000, 0.364)
Br (0.630, 0.000, 0.864)
Br (0.630, 0.630, 0.136)
Br (0.630, 0.630, 0.636)

***

Computed, not measured: Sr2FeCuC after structural relaxation at the PBE level of DFT.

Results
Total DFT energy (no corrections) ... -4.80 eV/atom
Fermi-level density of states ... 1.0119 states/eV/atom
Space-group type ... P4/mmm

a b c (Å): 5.479 5.479 3.698
angles (deg): 90.00 90.00 90.00
Sites, in units of the cell vectors:
Sr (0.000, 0.500, 0.000)
Sr (0.500, 0.000, 0.000)
Fe (0.000, 0.000, 0.500)
Cu (0.500, 0.500, 0.500)
C (0.000, 0.000, 0.000)

***

Computed, not measured: Be2NbMo4 after structural relaxation at the PBE level of DFT.

Results
Total DFT energy (no corrections) ... -7.04 eV/atom
Fermi-level density of states ... 0.8359 states/eV/atom
Space-group type ... I4/mmm

a b c (Å): 4.721 4.721 11.219
angles (deg): 90.00 90.00 90.00
Sites, in units of the cell vectors:
Be (0.000, 0.000, 0.087)
Be (0.000, 0.000, 0.913)
Be (0.500, 0.500, 0.413)
Be (0.500, 0.500, 0.587)
Nb (0.000, 0.000, 0.500)
Nb (0.500, 0.500, 0.000)
Mo (0.000, 0.000, 0.276)
Mo (0.000, 0.000, 0.724)
Mo (0.000, 0.500, 0.000)
Mo (0.000, 0.500, 0.500)
Mo (0.500, 0.000, 0.000)
Mo (0.500, 0.000, 0.500)
Mo (0.500, 0.500, 0.224)
Mo (0.500, 0.500, 0.776)

***

Computed, not measured: CsKRb3Au after structural relaxation at the PBE level of DFT.

Results
Total DFT energy (no corrections) ... -1.41 eV/atom
Fermi-level density of states ... 0.8569 states/eV/atom
Space-group type ... Cmcm

a b c (Å): 10.032 10.032 9.908
angles (deg): 90.00 90.00 105.98
Sites, in units of the cell vectors:
Cs (0.249, 0.751, 0.750)
Cs (0.751, 0.249, 0.250)
K (0.043, 0.957, 0.250)
K (0.957, 0.043, 0.750)
Rb (0.302, 0.302, 0.000)
Rb (0.302, 0.302, 0.500)
Rb (0.308, 0.692, 0.250)
Rb (0.692, 0.308, 0.750)
Rb (0.698, 0.698, 0.000)
Rb (0.698, 0.698, 0.500)
Au (0.473, 0.527, 0.750)
Au (0.527, 0.473, 0.250)

***

Computed, not measured: LiPa2IrN5 after structural relaxation at the PBE level of DFT.

Results
Formation energy (no corrections) ... -818 meV/atom
Fermi-level density of states ... 0.4334 states/eV/atom
Space-group type ... Cmc2_1

a b c (Å): 6.774 6.774 9.654
angles (deg): 90.00 90.00 150.71
Sites, in units of the cell vectors:
Li (0.211, 0.789, 0.500)
Li (0.789, 0.211, 0.000)
Pa (0.113, 0.887, 0.189)
Pa (0.149, 0.851, 0.797)
Pa (0.851, 0.149, 0.297)
Pa (0.887, 0.113, 0.689)
Ir (0.467, 0.533, 0.965)
Ir (0.533, 0.467, 0.465)
N (0.056, 0.944, 0.564)
N (0.281, 0.719, 0.184)
N (0.326, 0.674, 0.854)
N (0.370, 0.630, 0.514)
N (0.482, 0.518, 0.274)
N (0.518, 0.482, 0.774)
N (0.630, 0.370, 0.014)
N (0.674, 0.326, 0.354)
N (0.719, 0.281, 0.684)
N (0.944, 0.056, 0.064)

***

Computed, not measured: PrAl3AgHg after structural relaxation at the PBE level of DFT.

Results
Total DFT energy (no corrections) ... -3.19 eV/atom
Fermi-level density of states ... 0.4956 states/eV/atom
Space-group type ... Cmcm

a b c (Å): 8.961 8.961 5.994
angles (deg): 90.00 90.00 141.24
Sites, in units of the cell vectors:
Pr (0.175, 0.825, 0.750)
Pr (0.825, 0.175, 0.250)
Al (0.236, 0.236, 0.000)
Al (0.236, 0.236, 0.500)
Al (0.262, 0.738, 0.250)
Al (0.738, 0.262, 0.750)
Al (0.764, 0.764, 0.000)
Al (0.764, 0.764, 0.500)
Ag (0.412, 0.588, 0.250)
Ag (0.588, 0.412, 0.750)
Hg (0.110, 0.890, 0.250)
Hg (0.890, 0.110, 0.750)

***

Computed, not measured: LiErSbRh after structural relaxation at the PBE level of DFT.

Results
Formation energy (no corrections) ... -848 meV/atom
Space-group type ... F-43m

a b c (Å): 6.612 6.612 6.612
angles (deg): 90.00 90.00 90.00
Sites, in units of the cell vectors:
Li (0.000, 0.000, 0.000)
Li (0.000, 0.500, 0.500)
Li (0.500, 0.000, 0.500)
Li (0.500, 0.500, 0.000)
Er (0.250, 0.250, 0.250)
Er (0.250, 0.750, 0.750)
Er (0.750, 0.250, 0.750)
Er (0.750, 0.750, 0.250)
Sb (0.250, 0.250, 0.750)
Sb (0.250, 0.750, 0.250)
Sb (0.750, 0.250, 0.250)
Sb (0.750, 0.750, 0.750)
Rh (0.000, 0.000, 0.500)
Rh (0.000, 0.500, 0.000)
Rh (0.500, 0.000, 0.000)
Rh (0.500, 0.500, 0.500)

***

Computed, not measured: NaCd6Hg12 after structural relaxation at the PBE level of DFT.

Results
E above lowest polymorph ... 0 meV per atom
Fermi-level density of states ... 0.2851 states/eV/atom
Space-group type ... R-3

a b c (Å): 8.604 8.604 8.604
angles (deg): 110.37 110.37 110.37
Sites, in units of the cell vectors:
Na (0.000, 0.000, 0.000)
Cd (0.045, 0.566, 0.354)
Cd (0.354, 0.045, 0.566)
Cd (0.434, 0.646, 0.955)
Cd (0.566, 0.354, 0.045)
Cd (0.646, 0.955, 0.434)
Cd (0.955, 0.434, 0.646)
Hg (0.108, 0.168, 0.744)
Hg (0.168, 0.744, 0.108)
Hg (0.210, 0.319, 0.478)
Hg (0.256, 0.892, 0.832)
Hg (0.319, 0.478, 0.210)
Hg (0.478, 0.210, 0.319)
Hg (0.522, 0.790, 0.681)
Hg (0.681, 0.522, 0.790)
Hg (0.744, 0.108, 0.168)
Hg (0.790, 0.681, 0.522)
Hg (0.832, 0.256, 0.892)
Hg (0.892, 0.832, 0.256)

***

Computed, not measured: KHgPCl2 after structural relaxation at the PBE level of DFT.

Results
E above lowest polymorph ... 596 meV per atom
Formation energy (no corrections) ... 200 meV/atom
Fermi-level density of states ... 1.2399 states/eV/atom
Space-group type ... P4/mmm

a b c (Å): 5.837 5.837 6.994
angles (deg): 90.00 90.00 90.00
Sites, in units of the cell vectors:
K (0.000, 0.000, 0.000)
Hg (0.500, 0.500, 0.500)
P (0.000, 0.000, 0.500)
Cl (0.000, 0.500, 0.000)
Cl (0.500, 0.000, 0.000)

***

Computed, not measured: Zn2FeTe after structural relaxation at the PBE level of DFT.

Results
Formation energy (no corrections) ... 337 meV/atom
Fermi-level density of states ... 1.0106 states/eV/atom
Space-group type ... I4/mmm

a b c (Å): 3.833 3.833 9.354
angles (deg): 90.00 90.00 90.00
Sites, in units of the cell vectors:
Zn (0.000, 0.500, 0.250)
Zn (0.000, 0.500, 0.750)
Zn (0.500, 0.000, 0.250)
Zn (0.500, 0.000, 0.750)
Fe (0.000, 0.000, 0.000)
Fe (0.500, 0.500, 0.500)
Te (0.000, 0.000, 0.500)
Te (0.500, 0.500, 0.000)

***

Computed, not measured: Y2ZrTcIr after structural relaxation at the PBE level of DFT.

Results
Total DFT energy (no corrections) ... -7.67 eV/atom
Fermi-level density of states ... 1.2309 states/eV/atom
Space-group type ... P4/mmm

a b c (Å): 5.291 5.291 5.018
angles (deg): 90.00 90.00 90.00
Sites, in units of the cell vectors:
Y (0.000, 0.500, 0.000)
Y (0.500, 0.000, 0.000)
Zr (0.000, 0.000, 0.500)
Tc (0.500, 0.500, 0.500)
Ir (0.000, 0.000, 0.000)

***

Computed, not measured: Nd3Sm3MgS8 after structural relaxation at the PBE level of DFT.

Results
Formation energy (no corrections) ... -1968 meV/atom
Fermi-level density of states ... 0.2421 states/eV/atom
Space-group type ... R-3m

a b c (Å): 8.039 8.039 8.039
angles (deg): 59.73 59.73 59.73
Sites, in units of the cell vectors:
Nd (0.000, 0.500, 0.500)
Nd (0.500, 0.000, 0.500)
Nd (0.500, 0.500, 0.000)
Sm (0.000, 0.000, 0.500)
Sm (0.000, 0.500, 0.000)
Sm (0.500, 0.000, 0.000)
Mg (0.500, 0.500, 0.500)
S (0.248, 0.248, 0.248)
S (0.260, 0.737, 0.737)
S (0.263, 0.263, 0.740)
S (0.263, 0.740, 0.263)
S (0.737, 0.260, 0.737)
S (0.737, 0.737, 0.260)
S (0.740, 0.263, 0.263)
S (0.752, 0.752, 0.752)

***

Computed, not measured: SrZn2Tc after structural relaxation at the PBE level of DFT.

Results
E above lowest polymorph ... 229 meV per atom
Fermi-level density of states ... 1.1917 states/eV/atom
Space-group type ... Fm-3m

a b c (Å): 6.796 6.796 6.796
angles (deg): 90.00 90.00 90.00
Sites, in units of the cell vectors:
Sr (0.000, 0.000, 0.000)
Sr (0.000, 0.500, 0.500)
Sr (0.500, 0.000, 0.500)
Sr (0.500, 0.500, 0.000)
Zn (0.250, 0.250, 0.250)
Zn (0.250, 0.250, 0.750)
Zn (0.250, 0.750, 0.250)
Zn (0.250, 0.750, 0.750)
Zn (0.750, 0.250, 0.250)
Zn (0.750, 0.250, 0.750)
Zn (0.750, 0.750, 0.250)
Zn (0.750, 0.750, 0.750)
Tc (0.000, 0.000, 0.500)
Tc (0.000, 0.500, 0.000)
Tc (0.500, 0.000, 0.000)
Tc (0.500, 0.500, 0.500)

***

Computed, not measured: SmReAgO6 after structural relaxation at the PBE level of DFT.

Results
Formation energy (no corrections) ... -1639 meV/atom
Fermi-level density of states ... 0.3579 states/eV/atom
Space-group type ... C2

a b c (Å): 5.514 5.514 4.955
angles (deg): 98.09 98.09 112.62
Sites, in units of the cell vectors:
Sm (0.000, 0.000, 0.000)
Re (0.649, 0.351, 0.000)
Ag (0.322, 0.678, 0.500)
O (0.337, 0.051, 0.757)
O (0.380, 0.390, 0.202)
O (0.610, 0.620, 0.798)
O (0.712, 0.135, 0.221)
O (0.865, 0.288, 0.779)
O (0.949, 0.663, 0.243)

***

Computed, not measured: CaReAg after structural relaxation at the PBE level of DFT.

Results
E above lowest polymorph ... 0 meV per atom
Fermi-level density of states ... 0.3892 states/eV/atom
Space-group type ... Fmm2

a b c (Å): 3.973 3.989 14.305
angles (deg): 90.00 90.00 90.00
Sites, in units of the cell vectors:
Ca (0.000, 0.000, 0.000)
Ca (0.000, 0.500, 0.500)
Ca (0.500, 0.000, 0.500)
Ca (0.500, 0.500, 0.000)
Re (0.000, 0.000, 0.333)
Re (0.000, 0.500, 0.833)
Re (0.500, 0.000, 0.833)
Re (0.500, 0.500, 0.333)
Ag (0.000, 0.000, 0.682)
Ag (0.000, 0.500, 0.182)
Ag (0.500, 0.000, 0.182)
Ag (0.500, 0.500, 0.682)

***

Computed, not measured: Nd2In2Ag15 after structural relaxation at the PBE level of DFT.

Results
Total DFT energy (no corrections) ... -3.13 eV/atom
Fermi-level density of states ... 0.4955 states/eV/atom
Space-group type ... R-3m

a b c (Å): 7.380 7.380 7.380
angles (deg): 82.71 82.71 82.71
Sites, in units of the cell vectors:
Nd (0.150, 0.150, 0.150)
Nd (0.850, 0.850, 0.850)
In (0.395, 0.395, 0.395)
In (0.605, 0.605, 0.605)
Ag (0.000, 0.500, 0.500)
Ag (0.148, 0.148, 0.660)
Ag (0.148, 0.660, 0.148)
Ag (0.192, 0.500, 0.808)
Ag (0.192, 0.808, 0.500)
Ag (0.340, 0.852, 0.852)
Ag (0.500, 0.000, 0.500)
Ag (0.500, 0.192, 0.808)
Ag (0.500, 0.500, 0.000)
Ag (0.500, 0.808, 0.192)
Ag (0.660, 0.148, 0.148)
Ag (0.808, 0.192, 0.500)
Ag (0.808, 0.500, 0.192)
Ag (0.852, 0.340, 0.852)
Ag (0.852, 0.852, 0.340)

***

Computed, not measured: Cr3PtBr after structural relaxation at the PBE level of DFT.

Results
E above lowest polymorph ... 0 meV per atom
Formation energy (no corrections) ... 921 meV/atom
Fermi-level density of states ... 1.5139 states/eV/atom
Space-group type ... Pm-3m

a b c (Å): 4.980 4.980 4.980
angles (deg): 90.00 90.00 90.00
Sites, in units of the cell vectors:
Cr (0.000, 0.000, 0.500)
Cr (0.000, 0.500, 0.000)
Cr (0.500, 0.000, 0.000)
Pt (0.000, 0.000, 0.000)
Br (0.500, 0.500, 0.500)

***

Computed, not measured: Ho4NiRh after structural relaxation at the PBE level of DFT.

Results
E above lowest polymorph ... 85 meV per atom
Fermi-level density of states ... 0.6448 states/eV/atom
Space-group type ... I4_1md

a b c (Å): 7.609 7.609 7.609
angles (deg): 105.99 105.99 116.69
Sites, in units of the cell vectors:
Ho (0.194, 0.494, 0.700)
Ho (0.244, 0.044, 0.800)
Ho (0.244, 0.444, 0.200)
Ho (0.297, 0.000, 0.297)
Ho (0.703, 0.000, 0.703)
Ho (0.750, 0.547, 0.797)
Ho (0.750, 0.953, 0.203)
Ho (0.794, 0.494, 0.300)
Ni (0.745, 0.245, 0.500)
Ni (0.995, 0.995, 0.000)
Rh (0.248, 0.748, 0.500)
Rh (0.498, 0.498, 0.000)

***

Computed, not measured: ZnGa2BiO6 after structural relaxation at the PBE level of DFT.

Results
Formation energy (no corrections) ... -1426 meV/atom
Fermi-level density of states ... 0.2191 states/eV/atom
Space-group type ... C2/c

a b c (Å): 7.010 7.010 6.077
angles (deg): 106.20 106.20 96.65
Sites, in units of the cell vectors:
Zn (0.208, 0.792, 0.750)
Zn (0.792, 0.208, 0.250)
Ga (0.287, 0.440, 0.319)
Ga (0.440, 0.287, 0.819)
Ga (0.560, 0.713, 0.181)
Ga (0.713, 0.560, 0.681)
Bi (0.106, 0.894, 0.250)
Bi (0.894, 0.106, 0.750)
O (0.060, 0.193, 0.163)
O (0.133, 0.635, 0.409)
O (0.193, 0.060, 0.663)
O (0.323, 0.445, 0.026)
O (0.365, 0.867, 0.091)
O (0.445, 0.323, 0.526)
O (0.555, 0.677, 0.474)
O (0.635, 0.133, 0.909)
O (0.677, 0.555, 0.974)
O (0.807, 0.940, 0.337)
O (0.867, 0.365, 0.591)
O (0.940, 0.807, 0.837)